Record 1
## MnTcHg2 (PBE)

Data for MnTcHg2 after structural relaxation.

Lattice parameters (Å, degrees): 2.8986 4.1321 5.9004 90.00 90.00 90.00
Closest atoms and distances in Å follow each position.
Fractional positions:
Hg (0.0000, 0.0000, 0.4997)  4 Hg 2.90-2.95, 4 Mn 2.92, 4 Tc 2.92
Hg (0.0000, 0.0000, 0.0003)  4 Hg 2.90-2.95, 4 Mn 2.92, 4 Tc 2.92
Tc (0.5000, 0.5000, 0.7500)  2 Tc 2.90, 8 Hg 2.92, 2 Mn 2.95
Mn (0.5000, 0.5000, 0.2500)  2 Mn 2.90, 8 Hg 2.92, 2 Tc 2.95

Results
Size of the total moment   4.04 μB per cell
Energy relative to the lowest polymorph listed for this composition   0.232 eV/atom
Electronic total energy   -17.934 eV/cell
DFT formation energy   2.20 eV/f.u.
Space-group type   Pmmm, No. 47

Record 2
## Mn3TcHg (PBE)

Data for Mn3TcHg after structural relaxation.

Lattice parameters (Å, degrees): 4.6955 4.6955 4.6955 90.00 90.00 90.00
Closest atoms and distances in Å follow each position.
Fractional positions:
Mn (0.0000, 0.0000, 0.5000)  2 Tc 2.35
Mn (0.5000, 0.0000, 0.0000)  2 Tc 2.35
Mn (0.0000, 0.5000, 0.0000)  2 Tc 2.35
Hg (0.5000, 0.5000, 0.5000)  12 Mn 3.32
Tc (0.0000, 0.0000, 0.0000)  6 Mn 2.35

Results
Size of the total moment   10.32 μB per cell
Energy relative to the lowest polymorph listed for this composition   0.000 eV/atom
Electronic total energy   -32.502 eV/cell
DFT formation energy   5.67 eV/f.u.
Space-group type   Pm-3m, No. 221

Record 3
## MnTc3Hg (PBE)

Data for MnTc3Hg after structural relaxation.

Lattice parameters (Å, degrees): 4.4522 4.4522 4.4522 90.00 90.00 90.00
Closest atoms and distances in Å follow each position.
Fractional positions:
Tc (0.5000, 0.0000, 0.0000)  2 Mn 2.23
Tc (0.0000, 0.5000, 0.0000)  2 Mn 2.23
Tc (0.0000, 0.0000, 0.5000)  2 Mn 2.23
Mn (0.0000, 0.0000, 0.0000)  6 Tc 2.23
Hg (0.5000, 0.5000, 0.5000)  12 Tc 3.15

Results
Size of the total moment   1.43 μB per cell
Electronic total energy   -34.707 eV/cell
DFT formation energy   5.86 eV/f.u.
Space-group type   Pm-3m, No. 221

Record 4
## MnTcHg2 (PBE)

Data for MnTcHg2 after structural relaxation.

Lattice parameters (Å, degrees): 6.5729 5.0403 2.9466 90.04 63.30 121.38
Closest atoms and distances in Å follow each position.
Fractional positions:
Hg (0.0000, 0.0000, 0.0000)  4 Tc 2.92, 4 Mn 2.92, 4 Hg 2.94-2.95
Hg (0.5000, 0.0000, 0.5000)  4 Mn 2.92, 4 Tc 2.92, 4 Hg 2.94-2.95
Tc (0.5000, 0.5000, 0.0000)  8 Hg 2.92, 2 Mn 2.94, 2 Tc 2.95
Mn (0.0000, 0.5000, 0.5000)  8 Hg 2.92, 2 Tc 2.94, 2 Mn 2.95

Results
Size of the total moment   4.52 μB per cell
Energy relative to the lowest polymorph listed for this composition   0.201 eV/atom
Electronic total energy   -18.059 eV/cell
DFT formation energy   2.08 eV/f.u.
Space-group type   Cmmm, No. 65

Record 5
## MnTcHg2 (PBE)

Data for MnTcHg2 after structural relaxation.

Lattice parameters (Å, degrees): 5.0639 5.0639 5.0639 131.79 131.79 70.56
Closest atoms and distances in Å follow each position.
Fractional positions:
Mn (0.2500, 0.7500, 0.5000)  8 Hg 2.92, 4 Tc 2.92
Hg (0.0000, 0.0000, 0.0000)  4 Mn 2.92, 4 Tc 2.92, 4 Hg 2.92
Hg (0.5000, 0.5000, 0.0000)  4 Tc 2.92, 4 Mn 2.92, 4 Hg 2.92
Tc (0.7500, 0.2500, 0.5000)  8 Hg 2.92, 4 Mn 2.92

Results
Size of the total moment   3.25 μB per cell
Energy relative to the lowest polymorph listed for this composition   0.241 eV/atom
Electronic total energy   -17.896 eV/cell
DFT formation energy   2.24 eV/f.u.
Space-group type   I4/mmm, No. 139

Record 6
## MnTcHg2 (PBE)

Data for MnTcHg2 after structural relaxation.

Lattice parameters (Å, degrees): 7.4636 7.4636 5.9951 51.50 51.50 90.00
Closest atoms and distances in Å follow each position.
Fractional positions:
Hg (0.6212, 0.1250, 0.2500)  2 Mn 2.71, 2 Tc 2.75, 2 Hg 2.84
Hg (0.3750, 0.3788, 0.7500)  2 Mn 2.71, 2 Tc 2.75, 2 Hg 2.84
Hg (0.1288, 0.6250, 0.2500)  2 Mn 2.71, 2 Tc 2.75, 2 Hg 2.84
Hg (0.8750, 0.8712, 0.7500)  2 Mn 2.71, 2 Tc 2.75, 2 Hg 2.84
Tc (0.7500, 0.2500, 0.5000)  4 Hg 2.75, 2 Mn 2.84
Tc (0.0000, 0.0000, 0.0000)  4 Hg 2.75, 2 Mn 2.84
Mn (0.2500, 0.7500, 0.5000)  4 Hg 2.71, 2 Tc 2.84
Mn (0.5000, 0.5000, 0.0000)  4 Hg 2.71, 2 Tc 2.84

Results
Size of the total moment   10.98 μB per cell
Energy relative to the lowest polymorph listed for this composition   0.552 eV/atom
Electronic total energy   -33.307 eV/cell
DFT formation energy   3.49 eV/f.u.
Space-group type   I-42d, No. 122

Record 7
## MnTc2Hg (PBE)

Data for MnTc2Hg after structural relaxation.

Lattice parameters (Å, degrees): 5.0277 5.0277 5.0277 135.23 135.23 65.18
Closest atoms and distances in Å follow each position.
Fractional positions:
Tc (0.0000, 0.0000, 0.0000)  4 Tc 2.71, 4 Mn 2.86, 4 Hg 2.86
Tc (0.5000, 0.5000, 0.0000)  4 Tc 2.71, 4 Hg 2.86, 4 Mn 2.86
Hg (0.2500, 0.7500, 0.5000)  4 Mn 2.71, 8 Tc 2.86
Mn (0.7500, 0.2500, 0.5000)  4 Hg 2.71, 8 Tc 2.86

Results
Size of the total moment   2.27 μB per cell
Electronic total energy   -28.265 eV/cell
DFT formation energy   1.94 eV/f.u.
Space-group type   I4/mmm, No. 139

Record 8
## MnTc2Hg (PBE)

Data for MnTc2Hg after structural relaxation.

Lattice parameters (Å, degrees): 3.8583 3.8560 4.1726 90.00 90.00 90.00
Closest atoms and distances in Å follow each position.
Fractional positions:
Hg (0.5000, 0.0000, 0.5000)  4 Mn 2.73, 8 Tc 2.84
Mn (0.0000, 0.5000, 0.5000)  4 Hg 2.73, 8 Tc 2.84
Tc (0.0000, 0.0000, 0.0000)  4 Tc 2.73, 4 Mn 2.84, 4 Hg 2.84
Tc (0.5000, 0.5000, 0.0000)  4 Tc 2.73, 4 Hg 2.84, 4 Mn 2.84

Results
Size of the total moment   2.58 μB per cell
Electronic total energy   -28.396 eV/cell
DFT formation energy   1.81 eV/f.u.
Space-group type   P4/mmm, No. 123

Record 9
## MnTcHg (PBE)

Data for MnTcHg after structural relaxation.

Lattice parameters (Å, degrees): 6.9739 6.7954 2.8073 81.83 74.69 23.48
Closest atoms and distances in Å follow each position.
Fractional positions:
Hg (0.9968, 0.9968, 0.0032)  4 Hg 2.81, 2 Mn 2.86, 2 Tc 2.96
Mn (0.3200, 0.3200, 0.6800)  2 Tc 2.44
Tc (0.6832, 0.6832, 0.3168)  2 Mn 2.44

Results
Size of the total moment   2.57 μB per cell
Energy relative to the lowest polymorph listed for this composition   0.100 eV/atom
Electronic total energy   -18.493 eV/cell
DFT formation energy   1.34 eV/f.u.
Space-group type   Fmm2, No. 42

Record 10
## MnTcHg2 (PBE)

Data for MnTcHg2 after structural relaxation.

Lattice parameters (Å, degrees): 4.1528 4.1356 4.1356 90.00 90.00 90.00
Closest atoms and distances in Å follow each position.
Fractional positions:
Tc (0.5000, 0.0000, 0.5000)  4 Mn 2.92, 8 Hg 2.93
Hg (0.0000, 0.5000, 0.5000)  4 Hg 2.92, 4 Mn 2.93, 4 Tc 2.93
Hg (0.0000, 0.0000, 0.0000)  4 Hg 2.92, 4 Mn 2.93, 4 Tc 2.93
Mn (0.5000, 0.5000, 0.0000)  4 Tc 2.92, 8 Hg 2.93

Results
Size of the total moment   3.61 μB per cell
Energy relative to the lowest polymorph listed for this composition   0.165 eV/atom
Electronic total energy   -18.201 eV/cell
DFT formation energy   1.94 eV/f.u.
Space-group type   P4/mmm, No. 123

Record 11
## MnTc2Hg (PBE)

Data for MnTc2Hg after structural relaxation.

Lattice parameters (Å, degrees): 9.2413 9.2413 9.2413 17.33 17.33 17.33
Closest atoms and distances in Å follow each position.
Fractional positions:
Hg (0.2500, 0.2500, 0.2500)  6 Hg 2.78, 6 Tc 3.02
Tc (0.0105, 0.0105, 0.0105)  3 Mn 2.56, 6 Tc 2.78
Tc (0.4895, 0.4895, 0.4895)  3 Mn 2.56, 6 Tc 2.78
Mn (0.7500, 0.7500, 0.7500)  6 Tc 2.56, 6 Mn 2.78

Results
Size of the total moment   0.51 μB per cell
Electronic total energy   -28.581 eV/cell
DFT formation energy   1.62 eV/f.u.
Space-group type   R-3m, No. 166

Record 12
## Mn3TcHg (PBE)

Data for Mn3TcHg after structural relaxation.

Lattice parameters (Å, degrees): 4.9229 4.9229 4.9229 90.00 90.00 90.00
Closest atoms and distances in Å follow each position.
Fractional positions:
Mn (0.0000, 0.5000, 0.0000)  2 Hg 2.46
Mn (0.0000, 0.0000, 0.5000)  2 Hg 2.46
Mn (0.5000, 0.0000, 0.0000)  2 Hg 2.46
Tc (0.5000, 0.5000, 0.5000)  12 Mn 3.48
Hg (0.0000, 0.0000, 0.0000)  6 Mn 2.46

Results
Size of the total moment   9.60 μB per cell
Energy relative to the lowest polymorph listed for this composition   0.626 eV/atom
Electronic total energy   -29.373 eV/cell
DFT formation energy   8.80 eV/f.u.
Space-group type   Pm-3m, No. 221

The lowest DFT formation energy belongs to which entry? MnTcHg

What is the size of the total moment in the second record? 10.32 μB per cell

What is the DFT formation energy in the eighth record? 1.81 eV/f.u.

What did the tenth record say?
## MnTcHg2 (PBE)

Data for MnTcHg2 after structural relaxation.

Lattice parameters (Å, degrees): 4.1528 4.1356 4.1356 90.00 90.00 90.00
Closest atoms and distances in Å follow each position.
Fractional positions:
Tc (0.5000, 0.0000, 0.5000)  4 Mn 2.92, 8 Hg 2.93
Hg (0.0000, 0.5000, 0.5000)  4 Hg 2.92, 4 Mn 2.93, 4 Tc 2.93
Hg (0.0000, 0.0000, 0.0000)  4 Hg 2.92, 4 Mn 2.93, 4 Tc 2.93
Mn (0.5000, 0.5000, 0.0000)  4 Tc 2.92, 8 Hg 2.93

Results
Size of the total moment   3.61 μB per cell
Energy relative to the lowest polymorph listed for this composition   0.165 eV/atom
Electronic total energy   -18.201 eV/cell
DFT formation energy   1.94 eV/f.u.
Space-group type   P4/mmm, No. 123